Material: Sr4Ga3Sn
Method: DFT, PBE-GGA
State: optimized geometry

abc: 4.507 4.852 11.941
angles: 90.00 90.00 90.00
Positions (direct):
Sr: 0.000 0.000 0.000
Sr: 0.000 0.500 0.492
Sr: 0.500 0.000 0.712
Sr: 0.500 0.500 0.216
Ga: 0.000 0.000 0.297
Ga: 0.500 0.000 0.412
Ga: 0.500 0.500 0.930
Sn: 0.000 0.500 0.786

formation enthalpy at 0 K = -3.93 eV per formula unit
DFT total energy = -23.74 eV per formula unit
total magnetization = 0.00 μB per formula unit
space group = Pmm2, No. 25
calculated density = 4.31 g cm⁻³

Material: SrGa6Sn8
Method: DFT, PBE-GGA
State: optimized geometry

abc: 8.851 8.851 8.851
angles: 52.15 52.15 52.15
Positions (direct):
Sr: 0.000 0.000 0.000
Ga: 0.062 0.447 0.707
Ga: 0.293 0.938 0.553
Ga: 0.447 0.707 0.062
Ga: 0.553 0.293 0.938
Ga: 0.707 0.062 0.447
Ga: 0.938 0.553 0.293
Sn: 0.133 0.817 0.423
Sn: 0.183 0.577 0.867
Sn: 0.337 0.337 0.337
Sn: 0.423 0.133 0.817
Sn: 0.577 0.867 0.183
Sn: 0.663 0.663 0.663
Sn: 0.817 0.423 0.133
Sn: 0.867 0.183 0.577

formation enthalpy at 0 K = -0.44 eV per formula unit
DFT total energy = -52.30 eV per formula unit
total magnetization = 0.00 μB per formula unit
space group = R-3, No. 148
calculated density = 6.04 g cm⁻³